4
Lattice="5.670 -1.775 0.000 5.670 1.775 0.000 -0.005 0.000 3.782" Properties=species:S:1:pos:R:3 comment="PBEsol ZrHgP2, relaxed" m_tot_mub_per_cell=0.0 e_form_ev_per_fu=-1.9 energy_ev_per_atom=-5.7868 pbc="T T T"
Zr 0.000 0.000 0.000
Hg 2.481 0.000 1.896
P 4.991 0.000 1.890
P 7.665 0.000 0.004

***

4
Lattice="0.000 3.752 3.752 3.752 0.000 3.752 3.752 3.752 0.000" Properties=species:S:1:pos:R:3 comment="PBEsol BaYZn2, relaxed" e_above_lowest_polymorph_mev_per_atom=137 m_tot_mub_per_cell=0.0 e_form_ev_per_fu=-0.3 energy_ev_per_atom=-3.1129 pbc="T T T"
Ba 0.000 0.000 0.000
Y 3.752 3.752 3.752
Zn 1.876 1.876 1.876
Zn 5.628 5.628 5.628

***

4
Lattice="2.772 -4.783 0.000 2.772 4.783 0.000 -1.075 0.000 2.602" Properties=species:S:1:pos:R:3 comment="PBEsol LaTc2Pt, relaxed" e_above_lowest_polymorph_mev_per_atom=75 m_tot_mub_per_cell=0.0 e_form_ev_per_fu=1.3 energy_ev_per_atom=-8.3934 pbc="T T T"
La 0.000 0.000 0.000
Tc 0.849 2.391 1.301
Tc 0.849 -2.391 1.301
Pt 2.772 0.000 0.000

***

32
Lattice="3.564 -5.053 0.000 3.564 5.053 0.000 0.000 0.000 10.102" Properties=species:S:1:pos:R:3 comment="PBEsol TaZnNi6, relaxed" m_tot_mub_per_cell=0.5 e_form_ev_per_fu=-2.3 energy_ev_per_atom=-6.6760 pbc="T T T"
Ta 0.000 0.000 2.469
Ta 0.000 0.000 7.634
Ta 3.564 2.571 5.051
Ta 3.564 -2.571 5.051
Zn 3.564 2.564 0.000
Zn 3.564 0.000 2.486
Zn 3.564 0.000 7.616
Zn 3.564 -2.564 0.000
Ni 0.000 0.000 0.000
Ni 0.000 0.000 5.051
Ni 1.803 1.270 1.255
Ni 1.803 1.270 8.847
Ni 1.803 1.255 3.778
Ni 1.803 1.255 6.324
Ni 3.564 2.525 2.510
Ni 3.564 2.525 7.592
Ni 1.803 -1.255 3.778
Ni 1.803 -1.255 6.324
Ni 1.803 -1.270 1.255
Ni 1.803 -1.270 8.847
Ni 3.564 0.000 0.000
Ni 3.564 0.000 5.051
Ni 5.326 1.270 1.255
Ni 5.326 1.270 8.847
Ni 5.326 1.255 3.778
Ni 5.326 1.255 6.324
Ni 3.564 -2.525 2.510
Ni 3.564 -2.525 7.592
Ni 5.326 -1.255 3.778
Ni 5.326 -1.255 6.324
Ni 5.326 -1.270 1.255
Ni 5.326 -1.270 8.847

***

4
Lattice="1.466 0.846 9.862 -1.466 0.846 9.862 0.000 -1.692 9.862" Properties=species:S:1:pos:R:3 comment="PBEsol Cd3Cu, relaxed" m_tot_mub_per_cell=0.0 e_form_ev_per_fu=0.4 energy_ev_per_atom=-1.8772 pbc="T T T"
Cd 0.000 0.000 0.000
Cd 0.000 0.000 7.096
Cd 0.000 0.000 22.491
Cu 0.000 0.000 14.793

***

5
Lattice="4.408 0.000 0.000 0.000 4.408 0.000 0.000 0.000 4.408" Properties=species:S:1:pos:R:3 comment="PBEsol Y3HN, relaxed" m_tot_mub_per_cell=0.0 energy_ev_per_atom=-6.0858 pbc="T T T"
Y 0.000 0.000 2.204
Y 0.000 2.204 0.000
Y 2.204 0.000 0.000
H 0.000 0.000 0.000
N 2.204 2.204 2.204

***

4
Lattice="3.747 -1.612 0.000 3.747 1.612 0.000 -0.949 0.000 5.585" Properties=species:S:1:pos:R:3 comment="PBEsol MnSbP2, relaxed" m_tot_mub_per_cell=0.8 e_form_raw_ev_per_fu=-0.22 energy_ev_per_atom=-6.5306 pbc="T T T"
Mn 0.000 0.000 0.000
Sb 1.538 0.000 3.748
P 3.659 0.000 1.697
P 5.297 0.000 0.278

***

4
Lattice="-1.631 2.202 4.657 1.631 -2.202 4.657 1.631 2.202 -4.657" Properties=species:S:1:pos:R:3 comment="PBEsol ScRe2Sb, relaxed" m_tot_mub_per_cell=0.0 e_form_raw_ev_per_fu=0.34 energy_ev_per_atom=-9.3706 pbc="T T T"
Sc 0.000 0.000 0.000
Re 0.000 0.000 4.737
Re 0.000 2.202 2.251
Sb 1.631 0.000 2.503